(1)
Below is crystalline AlTe2Pt at its relaxed geometry, with properties calculated at the PBE level.

The space group is Cm (No. 8) and the conventional cell measures 7.829, 3.170 and 7.791 Å, with angles of 90.00, 96.41 and 90.00 degrees. Symmetry generates all atoms from Al at (0.000, 0.000, 0.000), Te at (0.269, 0.000, 0.754), Te at (0.457, 0.000, 0.362) and Pt at (0.218, 0.500, 0.154).

---

(2)
Below is crystalline Th5TcSe4 at its relaxed geometry, with properties calculated at the PBE level.

The space group is I4/m (No. 87) and the conventional cell measures 9.430, 9.430 and 5.978 Å, with angles of 90.00, 90.00 and 90.00 degrees. Symmetry generates all atoms from Th at (0.000, 0.000, 0.000), Th at (0.098, 0.281, 0.500), Tc at (0.000, 0.000, 0.500) and Se at (0.092, 0.306, 0.000).

---

(3)
Below is crystalline Mo2IrRh at its relaxed geometry, with properties calculated at the PBE level.

The space group is Cmmm (No. 65) and the conventional cell measures 5.515, 7.850 and 2.762 Å, with angles of 90.00, 90.00 and 90.00 degrees. Symmetry generates all atoms from Mo at (0.250, 0.250, 0.000), Ir at (0.000, 0.000, 0.500) and Rh at (0.000, 0.500, 0.500).

For the formation energy, the calculation gives -95 kJ/mol of formula units. As for the offset from the most stable computed form: 12 meV per atom.

---

(4)
Below is crystalline Tc2HgN at its relaxed geometry, with properties calculated at the PBE level.

The space group is Fm-3m (No. 225) and the conventional cell measures 6.121, 6.121 and 6.121 Å, with angles of 90.00, 90.00 and 90.00 degrees. Symmetry generates all atoms from Tc at (0.250, 0.250, 0.250), Hg at (0.000, 0.000, 0.000) and N at (0.000, 0.000, 0.500).

As for the offset from the most stable computed form: 919 meV per atom.

---

(5)
Below is crystalline CrIrW at its relaxed geometry, with properties calculated at the PBE level.

The space group is I4mm (No. 107) and the conventional cell measures 2.697, 2.697 and 11.777 Å, with angles of 90.00, 90.00 and 90.00 degrees. Symmetry generates all atoms from Cr at (0.000, 0.000, 0.000), Ir at (0.000, 0.000, 0.354) and W at (0.000, 0.000, 0.675).

For the formation energy, the calculation gives -12 kJ/mol of formula units. As for the offset from the most stable computed form: 0 meV per atom.

---

(6)
Below is crystalline BIr3Pb at its relaxed geometry, with properties calculated at the PBE level.

The space group is Pm-3m (No. 221) and the conventional cell measures 4.247, 4.247 and 4.247 Å, with angles of 90.00, 90.00 and 90.00 degrees. Symmetry generates all atoms from B at (0.000, 0.000, 0.000), Ir at (0.000, 0.000, 0.500) and Pb at (0.500, 0.500, 0.500).

For the formation energy, the calculation gives 128 kJ/mol of formula units. As for the offset from the most stable computed form: 0 meV per atom.

---

(7)
Below is crystalline YGe3Os at its relaxed geometry, with properties calculated at the PBE level.

The space group is Pmn2_1 (No. 31) and the conventional cell measures 6.205, 5.698 and 5.714 Å, with angles of 90.00, 90.00 and 90.00 degrees. Symmetry generates all atoms from Y at (0.000, 0.138, 0.000), Ge at (0.000, 0.916, 0.548), Ge at (0.233, 0.327, 0.457) and Os at (0.000, 0.616, 0.262).

For the formation energy, the calculation gives -158 kJ/mol of formula units.

---

(8)
Below is crystalline Ho2PtS at its relaxed geometry, with properties calculated at the PBE level.

The space group is Cmcm (No. 63) and the conventional cell measures 3.806, 22.219 and 4.120 Å, with angles of 90.00, 90.00 and 90.00 degrees. Symmetry generates all atoms from Ho at (0.000, 0.067, 0.250), Ho at (0.000, 0.317, 0.250), Pt at (0.000, 0.451, 0.250) and S at (0.000, 0.193, 0.250).

As for the offset from the most stable computed form: 0 meV per atom.

---

(9)
Below is crystalline Rb3HoAg2Br9 at its relaxed geometry, with properties calculated at the PBE level.

The space group is P-3m1 (No. 164) and the conventional cell measures 7.8572, 7.8572 and 9.7660 Å, with angles of 90.00, 90.00 and 120.00 degrees. Symmetry generates all atoms from Rb at (0.0000, 0.0000, 0.0000), Rb at (0.3333, 0.6667, 0.6894), Ho at (0.0000, 0.0000, 0.5000), Ag at (0.3333, 0.6667, 0.1549), Br at (0.0000, 0.5000, 0.0000) and Br at (0.1664, 0.3328, 0.3356).

---

(10)
Below is crystalline Ca3ZnRh3 at its relaxed geometry, with properties calculated at the PBE level.

The space group is Cmcm (No. 63) and the conventional cell measures 4.225, 10.467 and 13.518 Å, with angles of 90.00, 90.00 and 90.00 degrees. Symmetry generates all atoms from Ca at (0.000, 0.007, 0.250), Ca at (0.000, 0.288, 0.106), Zn at (0.000, 0.000, 0.000), Rh at (0.000, 0.290, 0.750) and Rh at (0.000, 0.425, 0.589).

For the formation energy, the calculation gives -304 kJ/mol of formula units.

---

(11)
Below is crystalline Fe3MoIr4 at its relaxed geometry, with properties calculated at the PBE level.

The space group is Pmma (No. 51) and the conventional cell measures 8.678, 5.454 and 4.613 Å, with angles of 90.00, 90.00 and 90.00 degrees. Symmetry generates all atoms from Fe at (0.000, 0.000, 0.000), Fe at (0.250, 0.000, 0.339), Fe at (0.250, 0.500, 0.346), Mo at (0.000, 0.500, 0.000), Ir at (0.000, 0.248, 0.500) and Ir at (0.250, 0.243, 0.850).

For the formation energy, the calculation gives -87 kJ/mol of formula units.

---

(12)
Below is crystalline Dy2USi3Pt4 at its relaxed geometry, with properties calculated at the PBE level.

The space group is P-4m2 (No. 115) and the conventional cell measures 4.186, 4.186 and 10.988 Å, with angles of 90.00, 90.00 and 90.00 degrees. Symmetry generates all atoms from Dy at (0.000, 0.500, 0.224), U at (0.000, 0.000, 0.500), Si at (0.000, 0.500, 0.879), Si at (0.500, 0.500, 0.500), Pt at (0.000, 0.000, 0.000), Pt at (0.000, 0.500, 0.664) and Pt at (0.500, 0.500, 0.000).

---

Computed values of calculated density (unit: g cm⁻³) for the preceding records, in sequence: 8.249 9.834 13.525 11.892 16.596 17.224 8.172 10.619 4.313 5.493 15.704 12.314.
Computed values of E (unit: eV/atom) for the preceding records, in sequence: -4.264 -7.432 -9.714 -5.727 -10.522 -7.128 -6.636 -6.452 -3.173 -4.641 -9.070 -6.997.
Computed values of volume (unit: Å³ per atom) for the preceding records, in sequence: 24.019 26.578 14.947 14.334 14.277 15.322 20.201 21.775 34.809 21.351 13.645 19.251.